The following is a PBE-GGA calculation of an optimized crystal structure of Pm8AgPt2, from the Alexandria database.

a = 9.7578 Å, b = 9.7578 Å, c = 6.9086 Å
α = 108.37°, β = 108.37°, γ = 30.82°
Positions (direct):
Pm  0.0285  0.0285  0.2813
Pm  0.2006  0.2006  0.8466
Pm  0.3234  0.3234  0.4962
Pm  0.4051  0.4051  0.0197
Pm  0.5949  0.5949  0.9803
Pm  0.6766  0.6766  0.5038
Pm  0.7994  0.7994  0.1534
Pm  0.9715  0.9715  0.7187
Ag  0.5000  0.5000  0.5000
Pt  0.1705  0.1705  0.2364
Pt  0.8295  0.8295  0.7636

Values from the calculation:
The value obtained for the relative energy among the computed polymorphs is 0.000 eV/f.u. The calculation puts the density of states at the Fermi level at 11.13 states/eV/cell. The crystal system is monoclinic. The formation energy is -0.471 eV per atom. The calculation puts the electronic total energy at -5.28 eV/atom. The value obtained for the density is 8.64 g/cm³.